Compound: HfCuHRh2
Source: Alexandria
Functional: PBE-GGA
Structure: relaxed

The structure in extended XYZ format:
```
5
Lattice="4.109 0.000 0.000 0.000 4.109 0.000 0.000 0.000 3.671" Properties=species:S:1:pos:R:3 pbc="T T T"
H 0.000 0.000 0.000
Cu 0.000 0.000 1.836
Rh 0.000 2.054 0.000
Hf 2.054 2.054 1.836
Rh 2.054 0.000 0.000
```



Compound: AlCo3P
Source: Alexandria
Functional: PBE-GGA
Structure: relaxed

Formation enthalpy at 0 K, eV/atom: 0.0491

The structure in extended XYZ format:
```
5
Lattice="-2.892 -2.752 -0.812 1.357 -2.327 3.057 -2.529 1.900 2.568" Properties=species:S:1:pos:R:3 pbc="T T T"
Co -1.446 -1.376 -0.406
Co -1.264 0.950 1.284
Al -2.032 -1.590 2.407
P 0.000 0.000 0.000
Co 0.678 -1.163 1.528
```



Number 1: VASP energy -34.92 eV for the cell shown. Number 2: VASP energy -30.22 eV for the cell shown.